1.
Here is a geometry-optimized NbRu2Rh2 structure from Alexandria via LeMat-Bulk. Energies are from GGA-PBE.

Structure (POSCAR):
```
NbRu2Rh2
1.0
7.4187 0.0000 0.0000
0.0000 7.4187 0.0000
0.0000 0.0000 2.7808
Nb Ru Rh
2 4 4
Cartesian
0.0000 0.0000 0.0000
3.7093 3.7093 0.0000
0.9044 2.8050 0.0000
2.8050 6.5143 0.0000
4.6137 0.9044 0.0000
6.5143 4.6137 0.0000
1.2952 5.0046 1.3904
2.4141 1.2952 1.3904
5.0046 6.1235 1.3904
6.1235 2.4141 1.3904
```

Summary:
The value obtained for the formation enthalpy at 0 K is 0.062 eV per atom. The value obtained for the energy above the lowest structure with this stoichiometry is 0.004 eV/atom. As for the space group: No. 127.

=====

2.
Here is a geometry-optimized SiPd8Se2 structure from Alexandria via LeMat-Bulk. Energies are from GGA-PBE.

Structure (POSCAR):
```
SiPd8Se2
1.0
3.8091 -5.2807 0.0000
3.8091 5.2807 0.0000
-1.1999 0.0000 4.5140
Si Pd Se
1 8 2
Cartesian
0.0000 0.0000 0.0000
0.9134 1.3728 1.9138
2.7810 2.9292 3.8027
1.2085 0.0000 4.2985
0.9134 -1.3728 1.9138
5.8620 1.3825 1.1685
4.3046 0.0000 3.2893
2.7810 -2.9292 3.8027
5.8620 -1.3825 1.1685
3.3799 1.6947 1.5767
3.3799 -1.6947 1.5767
```

Summary:
As for the space group: No. 8. The value obtained for the energy relative to the elements, uncorrected is -0.252 eV per atom.

=====

3.
Here is a geometry-optimized Sc3TcTe structure from Alexandria via LeMat-Bulk. Energies are from GGA-PBE.

Structure (POSCAR):
```
Sc3TcTe
1.0
5.1606 0.0000 0.0000
0.0000 5.1606 0.0000
0.0000 0.0000 5.1606
Sc Tc Te
3 1 1
Cartesian
0.0000 0.0000 2.5803
0.0000 2.5803 0.0000
2.5803 0.0000 0.0000
2.5803 2.5803 2.5803
0.0000 0.0000 0.0000
```

Summary:
The value obtained for the energy above the lowest structure with this stoichiometry is 0.875 eV/atom. As for the space group: No. 221. The value obtained for the energy relative to the elements, uncorrected is 0.782 eV per atom.

=====

4.
Here is a geometry-optimized TmCoSi2Tc structure from Alexandria via LeMat-Bulk. Energies are from GGA-PBE.

Structure (POSCAR):
```
TmCoSi2Tc
1.0
-2.0324 2.0324 4.8004
2.0324 -2.0324 4.8004
2.0324 2.0324 -4.8004
Tm Co Si Tc
1 1 2 1
Cartesian
0.0000 0.0000 0.0000
0.0000 2.0324 2.4002
0.0000 0.0000 3.5678
0.0000 0.0000 6.0330
2.0324 0.0000 2.4002
```

Summary:
As for the space group: No. 119. The value obtained for the energy relative to the elements, uncorrected is -0.711 eV per atom.

=====

5.
Here is a geometry-optimized MgBePt structure from Alexandria via LeMat-Bulk. Energies are from GGA-PBE.

Structure (POSCAR):
```
MgBePt
1.0
-1.4705 1.4705 10.4426
1.4705 -1.4705 10.4426
1.4705 1.4705 -10.4426
Mg Be Pt
2 2 2
Cartesian
0.0000 0.0000 1.5235
0.0000 0.0000 19.3618
0.0000 0.0000 4.6005
0.0000 0.0000 16.2847
0.0000 0.0000 7.0169
0.0000 0.0000 13.8683
```

Summary:
The value obtained for the formation enthalpy at 0 K is -0.529 eV per atom. The value obtained for the energy above the lowest structure with this stoichiometry is 0.140 eV/atom. As for the space group: No. 139.

=====

6.
Here is a geometry-optimized Tl4AsRu structure from Alexandria via LeMat-Bulk. Energies are from GGA-PBE.

Structure (POSCAR):
```
Tl4AsRu
1.0
0.0000 4.3348 4.3348
4.3348 0.0000 4.3348
4.3348 4.3348 0.0000
Tl As Ru
4 1 1
Cartesian
1.0839 1.0839 1.0839
3.2510 3.2510 1.0839
3.2510 1.0839 3.2510
1.0839 3.2510 3.2510
6.5022 6.5022 6.5022
4.3348 4.3348 4.3348
```

Summary:
The value obtained for the formation enthalpy at 0 K is 0.928 eV per atom. As for the space group: No. 216.

=====

7.
Here is a geometry-optimized Tl2ZnFeS structure from Alexandria via LeMat-Bulk. Energies are from GGA-PBE.

Structure (POSCAR):
```
Tl2ZnFeS
1.0
5.9647 0.0000 0.0000
0.0000 5.9647 0.0000
0.0000 0.0000 4.1843
Tl Zn Fe S
2 1 1 1
Cartesian
0.0000 2.9823 0.0000
2.9823 0.0000 0.0000
0.0000 0.0000 2.0921
2.9823 2.9823 2.0921
2.9823 2.9823 0.0000
```

Summary:
As for the space group: No. 123. The value obtained for the energy relative to the elements, uncorrected is 0.367 eV per atom.

=====

8.
Here is a geometry-optimized Ac4La3Sn4 structure from Alexandria via LeMat-Bulk. Energies are from GGA-PBE.

Structure (POSCAR):
```
Ac4La3Sn4
1.0
-1.9640 5.0519 9.9122
1.9640 -5.0519 9.9122
1.9640 5.0519 -9.9122
Ac La Sn
4 3 4
Cartesian
1.9640 -3.2758 6.5959
0.0000 1.7762 3.3163
1.9640 3.2758 6.5959
0.0000 8.3277 3.3163
1.9640 0.0000 0.0000
0.0000 0.0000 8.2062
0.0000 0.0000 11.6181
0.0000 2.7768 0.0000
1.9640 0.0000 5.5637
0.0000 5.0519 4.3484
0.0000 7.3271 0.0000
```

Summary:
The value obtained for the formation enthalpy at 0 K is -0.555 eV per atom. As for the space group: No. 71.

=====

9.
Here is a geometry-optimized SrTb3Rh structure from Alexandria via LeMat-Bulk. Energies are from GGA-PBE.

Structure (POSCAR):
```
SrTb3Rh
1.0
5.5303 0.0000 0.0000
0.0000 5.5303 0.0000
0.0000 0.0000 5.5303
Sr Tb Rh
1 3 1
Cartesian
0.0000 0.0000 0.0000
0.0000 2.7652 2.7652
2.7652 0.0000 2.7652
2.7652 2.7652 0.0000
2.7652 2.7652 2.7652
```

Summary:
The value obtained for the formation enthalpy at 0 K is -0.275 eV per atom. As for the space group: No. 221.

=====

10.
Here is a geometry-optimized Be2FeRe structure from Alexandria via LeMat-Bulk. Energies are from GGA-PBE.

Structure (POSCAR):
```
Be2FeRe
1.0
-1.8154 1.8154 3.2832
1.8154 -1.8154 3.2832
1.8154 1.8154 -3.2832
Be Fe Re
2 1 1
Cartesian
1.8154 0.0000 1.6416
0.0000 1.8154 1.6416
0.0000 0.0000 0.0000
0.0000 0.0000 3.2832
```

Summary:
The value obtained for the formation enthalpy at 0 K is 0.074 eV per atom. The value obtained for the energy above the lowest structure with this stoichiometry is 0.196 eV/atom. As for the space group: No. 139.

=====

11.
Here is a geometry-optimized ScTeRh4 structure from Alexandria via LeMat-Bulk. Energies are from GGA-PBE.

Structure (POSCAR):
```
ScTeRh4
1.0
0.0000 3.7118 3.7118
3.7118 0.0000 3.7118
3.7118 3.7118 0.0000
Sc Te Rh
1 1 4
Cartesian
0.0000 0.0000 0.0000
5.5677 5.5677 5.5677
2.7842 2.7842 2.7842
4.6395 4.6395 2.7842
4.6395 2.7842 4.6395
2.7842 4.6395 4.6395
```

Summary:
As for the space group: No. 216. The value obtained for the energy relative to the elements, uncorrected is -0.237 eV per atom.

=====

12.
Here is a geometry-optimized K2HoUTe4 structure from Alexandria via LeMat-Bulk. Energies are from GGA-PBE.

Structure (POSCAR):
```
K2HoUTe4
1.0
7.8005 0.0000 0.0000
0.0000 4.4985 0.0000
-2.6002 0.0000 8.2663
K Ho U Te
2 1 1 4
Cartesian
0.0000 0.0000 0.0000
3.9003 2.2492 0.0000
-1.3001 2.2492 4.1332
2.6001 0.0000 4.1332
-0.0324 0.0000 5.8625
1.2695 2.2492 2.3891
3.9308 2.2492 5.8772
5.2327 0.0000 2.4039
```

Summary:
As for the space group: No. 10. The value obtained for the energy relative to the elements, uncorrected is -1.104 eV per atom.

=====

13.
Here is a geometry-optimized Tm4CoNi3 structure from Alexandria via LeMat-Bulk. Energies are from GGA-PBE.

Structure (POSCAR):
```
Tm4CoNi3
1.0
3.7130 0.0000 0.0000
0.0000 4.0348 0.0000
0.0000 0.0000 10.1983
Tm Co Ni
4 1 3
Cartesian
0.0000 0.0000 0.0000
0.0000 2.0174 2.8522
1.8565 0.0000 5.0391
1.8565 2.0174 7.9447
1.8565 0.0000 2.1283
0.0000 0.0000 7.2517
0.0000 2.0174 5.7929
1.8565 2.0174 0.6819
```

Summary:
The value obtained for the formation enthalpy at 0 K is -0.431 eV per atom. As for the space group: No. 25.

=====

14.
Here is a geometry-optimized PmMg2AlHg4 structure from Alexandria via LeMat-Bulk. Energies are from GGA-PBE.

Structure (POSCAR):
```
PmMg2AlHg4
1.0
2.4400 1.4087 8.8582
-2.4400 1.4087 8.8582
0.0000 -2.8175 8.8582
Pm Mg Al Hg
1 2 1 4
Cartesian
0.0000 0.0000 0.0000
0.0000 0.0000 6.4756
0.0000 0.0000 20.0991
0.0000 0.0000 13.2873
0.0000 0.0000 3.3591
0.0000 0.0000 10.3049
0.0000 0.0000 16.2698
0.0000 0.0000 23.2156
```

Summary:
The value obtained for the formation enthalpy at 0 K is -0.243 eV per atom. As for the space group: No. 166.

=====

15.
Here is a geometry-optimized ZrI structure from Alexandria via LeMat-Bulk. Energies are from GGA-PBE.

Structure (POSCAR):
```
ZrI
1.0
-5.8143 5.8143 1.9340
5.8143 -5.8143 1.9340
5.8143 5.8143 -1.9340
Zr I
4 4
Cartesian
4.4934 1.0375 0.0000
4.7768 -1.3209 1.9340
1.0375 7.1353 0.0000
1.3209 4.7768 1.9340
9.1505 1.1790 0.0000
1.1790 2.4782 0.0000
4.6353 3.3362 1.9340
-3.3362 4.6353 1.9340
```

Summary:
As for the space group: No. 87. The value obtained for the energy relative to the elements, uncorrected is -0.408 eV per atom.

=====

16.
Here is a geometry-optimized Ac6Pr7 structure from Alexandria via LeMat-Bulk. Energies are from GGA-PBE.

Structure (POSCAR):
```
Ac6Pr7
1.0
3.4948 2.0177 12.3833
-3.4948 2.0177 12.3833
0.0000 -4.0355 12.3833
Ac Pr
6 7
Cartesian
0.0000 0.0000 1.8689
0.0000 0.0000 5.7596
0.0000 0.0000 12.4282
0.0000 0.0000 24.7215
0.0000 0.0000 31.3902
0.0000 0.0000 35.2809
-1.7710 -1.0225 15.5651
0.0000 -2.0450 21.5847
-1.7710 1.0225 21.5847
0.0000 0.0000 18.5749
1.7710 -1.0225 15.5651
0.0000 2.0450 15.5651
1.7710 1.0225 21.5846
```

Summary:
The value obtained for the formation enthalpy at 0 K is 0.183 eV per atom. As for the space group: No. 166.

=====

17.
Here is a geometry-optimized SrBeCr2 structure from Alexandria via LeMat-Bulk. Energies are from GGA-PBE.

Structure (POSCAR):
```
SrBeCr2
1.0
2.6721 0.0000 0.0000
0.0000 2.6721 0.0000
0.0000 0.0000 8.4575
Sr Be Cr
1 1 2
Cartesian
0.0000 0.0000 0.0000
0.0000 0.0000 4.2288
1.3360 1.3360 2.7601
1.3360 1.3360 5.6975
```

Summary:
The value obtained for the formation enthalpy at 0 K is 1.008 eV per atom. As for the space group: No. 123.

=====

18.
Here is a geometry-optimized LaCeBi structure from Alexandria via LeMat-Bulk. Energies are from GGA-PBE.

Structure (POSCAR):
```
LaCeBi
1.0
-1.7443 2.9915 9.4974
1.7443 -2.9915 9.4974
1.7443 2.9915 -9.4974
La Ce Bi
2 2 2
Cartesian
0.0000 0.0000 3.2322
0.0000 0.0000 15.7625
1.7443 1.3221 0.0000
0.0000 1.6694 9.4974
0.0000 0.0000 6.6009
0.0000 0.0000 12.3938
```

Summary:
The value obtained for the formation enthalpy at 0 K is -0.375 eV per atom. As for the space group: No. 71.

=====

19.
Here is a geometry-optimized HoZnGa3Ni structure from Alexandria via LeMat-Bulk. Energies are from GGA-PBE.

Structure (POSCAR):
```
HoZnGa3Ni
1.0
3.3519 -5.9865 0.0000
3.3519 5.9865 0.0000
0.0000 0.0000 5.5967
Ho Zn Ga Ni
2 2 6 2
Cartesian
3.3519 3.5539 4.1975
3.3519 -3.5539 1.3992
3.3519 0.7545 4.1975
3.3519 -0.7545 1.3992
1.3008 0.0000 0.0000
1.3008 0.0000 2.7983
3.3519 1.9339 1.3992
3.3519 -1.9339 4.1975
5.4031 0.0000 0.0000
5.4031 0.0000 2.7983
3.3519 4.3449 1.3992
3.3519 -4.3449 4.1975
```

Summary:
The value obtained for the formation enthalpy at 0 K is -0.144 eV per atom. As for the space group: No. 63.

=====

20.
Here is a geometry-optimized LaTa2SnB structure from Alexandria via LeMat-Bulk. Energies are from GGA-PBE.

Structure (POSCAR):
```
LaTa2SnB
1.0
5.0744 0.0000 0.0000
0.0000 5.0744 0.0000
0.0000 0.0000 5.8651
La Ta Sn B
1 2 1 1
Cartesian
0.0000 0.0000 0.0000
0.0000 2.5372 2.9326
2.5372 0.0000 2.9326
0.0000 0.0000 2.9326
2.5372 2.5372 0.0000
```

Summary:
The value obtained for the formation enthalpy at 0 K is 2.242 eV per atom. As for the space group: No. 123.